Material: NdMn4Si2
Method: DFT, GGA-PBE
State: relaxed

Summary:
mass density = 6.9 g/cm³
formation energy without anion corrections = -2.96 eV/f.u.
E_tot = -55.25 eV/f.u.

Cell: 3.9319 13.1913 3.9082 Å, 90.00 90.00 90.00°
Space group Cmmm (No. 65)
Symmetry-distinct sites (fractional):
Nd: 0.0000 0.0000 0.0000 (multiplicity 2)
Mn: 0.0000 0.2021 0.5000 (multiplicity 4)
Mn: 0.0000 0.2978 0.0000 (multiplicity 4)
Si: 0.0000 0.4023 0.5000 (multiplicity 4)